Computed, not measured: an optimized crystal structure of Ag7Pd4Pt at the PBE level of DFT.

## Properties
Raw total energy, eV/cell: -46.971
Energy above the lowest structure with this stoichiometry, eV per atom: 0.0000
Symmetry: P-1
Formation energy from the elements, eV/atom: -0.017

a b c (Å): 5.7596 4.9609 10.1525
angles (deg): 85.07 44.32 89.97
Element x y z (fractional)
Pd 0.3396 0.1054 0.3307
Pd 0.6604 0.8946 0.6693
Pd 0.4126 0.3851 0.6697
Pd 0.5874 0.6149 0.3303
Ag 0.8309 0.1130 0.3336
Ag 0.5000 0.0000 0.0000
Ag 0.0762 0.6095 0.3386
Ag 0.7497 0.4973 0.0029
Ag 0.9238 0.3905 0.6614
Ag 0.1691 0.8870 0.6664
Ag 0.2503 0.5027 0.9971
Pt 0.0000 0.0000 0.0000



Computed, not measured: an optimized crystal structure of Ag5Pd6Pt at the PBE level of DFT.

## Properties
Raw total energy, eV/cell: -51.601
Symmetry: C2/m
Formation energy from the elements, eV/atom: -0.012

a b c (Å): 4.0039 8.0573 7.5622
angles (deg): 122.13 105.37 90.04
Element x y z (fractional)
Pd 0.8346 0.5878 0.6693
Pd 0.4998 0.2414 0.9999
Pd 0.1654 0.4122 0.3307
Pd 0.5002 0.7586 0.0001
Pd 0.8347 0.0816 0.6693
Pd 0.1653 0.9184 0.3307
Pt 0.0000 0.0000 0.0000
Ag 0.3315 0.8315 0.6629
Ag 0.3358 0.3357 0.6714
Ag 0.6685 0.1685 0.3371
Ag 0.0000 0.5000 0.0000
Ag 0.6642 0.6643 0.3286



Total magnetic moment (μB/atom)
0.0000 0.0000